(1)
# K2PtSe2 (PBE, relaxed)
# - ΔE_f (raw) (eV/atom) = -0.65
# - spin magnetization (μB per formula unit) = 0.00
data_K2PtSe2
_space_group_name_H-M_alt 'P 1'
_space_group_IT_number 1
_cell_length_a 7.002
_cell_length_b 7.002
_cell_length_c 5.216
_cell_angle_alpha 90.00
_cell_angle_beta 90.00
_cell_angle_gamma 90.00
loop_
_space_group_symop_operation_xyz
'x,y,z'
loop_
_atom_site_label
_atom_site_type_symbol
_atom_site_fract_x
_atom_site_fract_y
_atom_site_fract_z
_atom_site_occupancy
K1 K 0.158 0.342 0.000 1
K2 K 0.342 0.842 0.000 1
K3 K 0.658 0.158 0.000 1
K4 K 0.842 0.658 0.000 1
Pt1 Pt 0.000 0.000 0.500 1
Pt2 Pt 0.500 0.500 0.500 1
Se1 Se 0.165 0.665 0.500 1
Se2 Se 0.335 0.165 0.500 1
Se3 Se 0.665 0.835 0.500 1
Se4 Se 0.835 0.335 0.500 1

(2)
# K2PtSe2 (PBE, relaxed)
# - ΔE_f (raw) (eV/atom) = -0.90
# - spin magnetization (μB per formula unit) = 0.00
data_K2PtSe2
_space_group_name_H-M_alt 'P 1'
_space_group_IT_number 1
_cell_length_a 7.808
_cell_length_b 7.808
_cell_length_c 3.823
_cell_angle_alpha 103.57
_cell_angle_beta 103.57
_cell_angle_gamma 41.29
loop_
_space_group_symop_operation_xyz
'x,y,z'
loop_
_atom_site_label
_atom_site_type_symbol
_atom_site_fract_x
_atom_site_fract_y
_atom_site_fract_z
_atom_site_occupancy
K1 K 0.144 0.144 0.138 1
K2 K 0.856 0.856 0.862 1
Pt1 Pt 0.500 0.500 0.000 1
Se1 Se 0.385 0.385 0.390 1
Se2 Se 0.615 0.615 0.610 1